Dy8Ho4Pu: relaxed, PBE.

Summary:
total magnetization = 6.5 Bohr magnetons per cell
space group = R-3m, No. 166
E_form = 513 meV per atom

Lattice parameters (Å, degrees): 7.6905 7.6905 7.6905 90.12 90.12 90.12
Positions (direct):
Dy 0.2442 0.7547 0.2442
Dy 0.7558 0.7558 0.2453
Dy 0.7558 0.2453 0.7558
Dy 0.2453 0.7558 0.7558
Dy 0.7555 0.7555 0.7555
Dy 0.2445 0.2445 0.2445
Dy 0.7547 0.2442 0.2442
Dy 0.2442 0.2442 0.7547
Ho 0.5000 0.0000 0.5000
Ho 0.0000 0.5000 0.5000
Ho 0.5000 0.5000 0.0000
Ho 0.0000 0.0000 0.0000
Pu 0.5000 0.5000 0.5000